Density functional theory data (PBE+U) for a geometry-optimized Sr2LiCdWO6 structure.

abc: 11.0298 5.8168 5.4496
angles: 90.00 113.72 90.00
Space group C2/m (No. 12)
One atom of each set of equivalent atoms:
Sr1 0.2203 0.0000 0.1824 (multiplicity 4)
Li1 0.0000 0.5000 0.5000 (multiplicity 2)
Cd1 0.0000 0.0000 0.5000 (multiplicity 2)
W1 0.0000 0.5000 0.0000 (multiplicity 2)
O1 0.0810 0.2678 0.8167 (multiplicity 8)
O2 0.1634 0.5000 0.3184 (multiplicity 4)

## Properties
V	14.55	A^3/atom
total moment	0.091	μB per atom

Density functional theory data (PBE+U) for a geometry-optimized Sr2LiCdWO6 structure.

abc: 8.3716 8.7368 5.8797
angles: 90.00 130.97 90.00
Space group Cm (No. 8)
One atom of each set of equivalent atoms:
Sr1 0.0000 0.2065 0.0000 (multiplicity 4)
Li1 0.2987 0.0000 0.8226 (multiplicity 2)
Cd1 0.4549 0.0000 0.4378 (multiplicity 2)
W1 0.3813 0.5000 0.3381 (multiplicity 2)
O1 0.0690 0.0000 0.7983 (multiplicity 2)
O2 0.0773 0.5000 0.1849 (multiplicity 2)
O3 0.1703 0.0000 0.4212 (multiplicity 2)
O4 0.2490 0.5000 0.8984 (multiplicity 2)
O5 0.3838 0.2759 0.3329 (multiplicity 4)

## Properties
V	14.76	A^3/atom
total moment	0.091	μB per atom

For the records above, the corresponding energy values read -0.446; -0.444 Ry/atom.
For the records above, the corresponding ΔE to the lowest computed polymorph values read 0.000; 0.030 eV per atom.